(1)
# GaAs2Au (GGA-PBE, relaxed)
# Total DFT energy (no corrections)   -3.7531 eV per atom
# ΔE_f   0.148 eV per atom
# Mass density   7.70 g cm⁻³
# Total moment   0.00 μB/f.u.
# DOS at the Fermi energy   1.45 states/eV/f.u.
data_GaAs2Au
_chemical_formula_sum 'Ga3 As6 Au3'
_space_group_name_H-M_alt 'R -3 m'
_space_group_IT_number 166
_space_group_name_Hall '-R 3 2"'
_cell_length_a 3.6105
_cell_length_b 3.6105
_cell_length_c 23.8774
_cell_angle_alpha 90.00
_cell_angle_beta 90.00
_cell_angle_gamma 120.00
loop_
_atom_site_label
_atom_site_type_symbol
_atom_site_fract_x
_atom_site_fract_y
_atom_site_fract_z
Ga1 Ga 0.0000 0.0000 0.0000
As1 As 0.0000 0.0000 0.3977
Au1 Au 0.0000 0.0000 0.5000

(2)
# Ga3As5Au12 (GGA-PBE, relaxed)
# Total DFT energy (no corrections)   -3.5051 eV per atom
# ΔE_f   0.078 eV per atom
# Mass density   11.06 g cm⁻³
# Total moment   0.00 μB/f.u.
# DOS at the Fermi energy   12.12 states/eV/f.u.
data_Ga3As5Au12
_chemical_formula_sum 'Ga24 As40 Au96'
_space_group_name_H-M_alt 'I a -3 d'
_space_group_IT_number 230
_space_group_name_Hall '-I 4bd 2c 3'
_cell_length_a 15.2410
_cell_length_b 15.2410
_cell_length_c 15.2410
_cell_angle_alpha 90.00
_cell_angle_beta 90.00
_cell_angle_gamma 90.00
loop_
_atom_site_label
_atom_site_type_symbol
_atom_site_fract_x
_atom_site_fract_y
_atom_site_fract_z
Ga1 Ga 0.0000 0.2500 0.1250
As1 As 0.0000 0.0000 0.0000
As2 As 0.0000 0.2500 0.3750
Au1 Au 0.0157 0.0766 0.6521

(3)
# GaAs2Au (GGA-PBE, relaxed)
# Total DFT energy (no corrections)   -3.9157 eV per atom
# ΔE_f   -0.015 eV per atom
# Mass density   7.06 g cm⁻³
# Total moment   0.00 μB/f.u.
# DOS at the Fermi energy   1.53 states/eV/f.u.
data_GaAs2Au
_chemical_formula_sum 'Ga4 As8 Au4'
_space_group_name_H-M_alt 'I -4 2 d'
_space_group_IT_number 122
_space_group_name_Hall 'I -4 2bw'
_cell_length_a 5.8475
_cell_length_b 5.8475
_cell_length_c 11.4615
_cell_angle_alpha 90.00
_cell_angle_beta 90.00
_cell_angle_gamma 90.00
loop_
_atom_site_label
_atom_site_type_symbol
_atom_site_fract_x
_atom_site_fract_y
_atom_site_fract_z
Ga1 Ga 0.0000 0.0000 0.0000
As1 As 0.2453 0.2500 0.1250
Au1 Au 0.0000 0.0000 0.5000

(4)
# Ga3AsAu (GGA-PBE, relaxed)
# Total DFT energy (no corrections)   -2.9846 eV per atom
# Distance to the lowest polymorph of the same formula   148 meV/atom
# ΔE_f   0.417 eV per atom
# Mass density   6.38 g cm⁻³
# Total moment   0.00 μB/f.u.
# DOS at the Fermi energy   1.62 states/eV/f.u.
data_Ga3AsAu
_chemical_formula_sum 'Ga3 As1 Au1'
_space_group_name_H-M_alt 'P m -3 m'
_space_group_IT_number 221
_space_group_name_Hall '-P 4 2 3'
_cell_length_a 5.0030
_cell_length_b 5.0030
_cell_length_c 5.0030
_cell_angle_alpha 90.00
_cell_angle_beta 90.00
_cell_angle_gamma 90.00
loop_
_atom_site_label
_atom_site_type_symbol
_atom_site_fract_x
_atom_site_fract_y
_atom_site_fract_z
Ga1 Ga 0.0000 0.0000 0.5000
As1 As 0.0000 0.0000 0.0000
Au1 Au 0.5000 0.5000 0.5000

(5)
# GaAs2Au2 (GGA-PBE, relaxed)
# Total DFT energy (no corrections)   -3.6026 eV per atom
# Distance to the lowest polymorph of the same formula   0 meV/atom
# ΔE_f   0.173 eV per atom
# Mass density   9.79 g cm⁻³
# Total moment   0.00 μB/f.u.
# DOS at the Fermi energy   1.27 states/eV/f.u.
data_GaAs2Au2
_chemical_formula_sum 'Ga2 As4 Au4'
_space_group_name_H-M_alt 'I 4/m m m'
_space_group_IT_number 139
_space_group_name_Hall '-I 4 2'
_cell_length_a 3.8654
_cell_length_b 3.8654
_cell_length_c 13.9235
_cell_angle_alpha 90.00
_cell_angle_beta 90.00
_cell_angle_gamma 90.00
loop_
_atom_site_label
_atom_site_type_symbol
_atom_site_fract_x
_atom_site_fract_y
_atom_site_fract_z
Ga1 Ga 0.0000 0.0000 0.0000
As1 As 0.0000 0.5000 0.2500
Au1 Au 0.0000 0.0000 0.4037

(6)
# GaAs2Au2 (GGA-PBE, relaxed)
# Total DFT energy (no corrections)   -3.5746 eV per atom
# Distance to the lowest polymorph of the same formula   28 meV/atom
# ΔE_f   0.201 eV per atom
# Mass density   10.02 g cm⁻³
# Total moment   0.00 μB/f.u.
# DOS at the Fermi energy   2.53 states/eV/f.u.
data_GaAs2Au2
_chemical_formula_sum 'Ga2 As4 Au4'
_space_group_name_H-M_alt 'P 4/m b m'
_space_group_IT_number 127
_space_group_name_Hall '-P 4 2ab'
_cell_length_a 7.3240
_cell_length_b 7.3240
_cell_length_c 3.7894
_cell_angle_alpha 90.00
_cell_angle_beta 90.00
_cell_angle_gamma 90.00
loop_
_atom_site_label
_atom_site_type_symbol
_atom_site_fract_x
_atom_site_fract_y
_atom_site_fract_z
Ga1 Ga 0.0000 0.0000 0.0000
As1 As 0.1815 0.3185 0.0000
Au1 Au 0.1348 0.6348 0.5000

What is the formula in the sixth record?
GaAs2Au2

Which formula does entry 4 have?
Ga3AsAu

Among the records above, which one has the highest ΔE_f?
Ga3AsAu

Which formula does entry 3 have?
GaAs2Au